Rb2MnBrF6 | GGA+U | relaxed

Lattice parameters (Å, degrees): 6.450 6.450 6.450 115.01 115.01 98.89
Positions (direct):
Rb: 0.250 0.750 0.500
Rb: 0.750 0.250 0.500
Mn: 0.000 0.000 0.000
Br: 0.500 0.500 0.000
F: 0.191 0.191 0.382
F: 0.191 0.809 0.000
F: 0.261 0.261 0.000
F: 0.739 0.739 0.000
F: 0.809 0.191 0.000
F: 0.809 0.809 0.618

- space-group type = No. 139
- raw total energy (eV per atom) = -4.47